Below is a relaxed TbDy2Ho3Sb6 crystal, with properties calculated at the PBE-GGA level.

a b c (Å): 9.7867 9.7867 8.7548
angles (deg): 102.86 102.86 25.84
Atoms (fractional coordinates):
Tb: 0.0000 0.0000 0.0000
Dy: 0.3332 0.3332 0.6669
Dy: 0.6668 0.6668 0.3331
Ho: 0.0000 0.0000 0.5000
Ho: 0.3335 0.3335 0.1671
Ho: 0.6665 0.6665 0.8329
Sb: 0.1664 0.1664 0.5836
Sb: 0.1673 0.1673 0.0826
Sb: 0.4999 0.4999 0.2515
Sb: 0.5001 0.5001 0.7485
Sb: 0.8327 0.8327 0.9174
Sb: 0.8336 0.8336 0.4164

## Properties
E_form (uncorrected)   -108.6 kJ per mole of atoms
Magnetization   0.00 μB/f.u.
E_tot   -65.8 eV for the cell shown